A relaxed structure of TlFeAgSe2S. Source: OQMD via LeMat-Bulk, functional GGA-PBE.

a = 3.6828 Å, b = 13.5810 Å, c = 10.5315 Å
α = 90.00°, β = 90.00°, γ = 90.00°
Space group Cmcm (No. 63)
Symmetry-distinct sites (fractional):
Tl (0.0000, 0.2157, 0.2500) [4 per cell]
Fe (0.0000, 0.5000, 0.0000) [4 per cell]
Ag (0.0000, 0.1016, 0.7500) [4 per cell]
Se (0.0000, 0.1178, 0.5089) [8 per cell]
S (0.0000, 0.4595, 0.7500) [4 per cell]

Electronic total energy in eV/cell: -100.24
Crystal system: orthorhombic



A relaxed structure of TlFeAgSeS2. Source: OQMD via LeMat-Bulk, functional GGA-PBE.

a = 3.3115 Å, b = 15.2017 Å, c = 10.1886 Å
α = 90.00°, β = 90.00°, γ = 90.00°
Space group Cmcm (No. 63)
Symmetry-distinct sites (fractional):
Tl (0.0000, 0.1976, 0.2500) [4 per cell]
Fe (0.0000, 0.5000, 0.0000) [4 per cell]
Ag (0.0000, 0.1349, 0.7500) [4 per cell]
Se (0.0000, 0.4689, 0.7500) [4 per cell]
S (0.0000, 0.1038, 0.5128) [8 per cell]

Electronic total energy in eV/cell: -104.37
Crystal system: orthorhombic



A relaxed structure of FeSiAg2S4. Source: OQMD via LeMat-Bulk, functional GGA-PBE.

a = 6.4412 Å, b = 6.6276 Å, c = 10.1194 Å
α = 90.00°, β = 128.97°, γ = 90.00°
Space group Pc (No. 7)
Symmetry-distinct sites (fractional):
Fe (0.0000, 0.1833, 0.0000) [2 per cell]
Si (0.2442, 0.3137, 0.7458) [2 per cell]
Ag (0.5080, 0.1799, 0.4929) [2 per cell]
Ag (0.7423, 0.3508, 0.2398) [2 per cell]
S (0.1301, 0.3752, 0.2310) [2 per cell]
S (0.3309, 0.1822, 0.9699) [2 per cell]
S (0.5968, 0.3004, 0.7641) [2 per cell]
S (0.9255, 0.1556, 0.5190) [2 per cell]

Electronic total energy in eV/cell: -77.49
Crystal system: monoclinic



A relaxed structure of FeAgSnS3. Source: OQMD via LeMat-Bulk, functional GGA-PBE.

a = 3.4380 Å, b = 14.8317 Å, c = 9.3991 Å
α = 90.00°, β = 90.00°, γ = 90.00°
Space group Cmcm (No. 63)
Symmetry-distinct sites (fractional):
Fe (0.0000, 0.0000, 0.0000) [4 per cell]
Ag (0.0000, 0.3148, 0.2500) [4 per cell]
Sn (0.0000, 0.3394, 0.7500) [4 per cell]
S (0.0000, 0.0297, 0.2500) [4 per cell]
S (0.0000, 0.3969, 0.0209) [8 per cell]

Electronic total energy in eV/cell: -115.71
Crystal system: orthorhombic



Q: What is the electronic total energy in the fourth record?
A: -115.71 eV/cell



Q: Among the records above, which one has the lowest electronic total energy?
A: FeAgSnS3



Q: Among the records above, which one has the lowest electronic total energy?
A: FeAgSnS3